Material: Ta2MnNb
Method: DFT, PBE-GGA
State: relaxed

Cell lengths 3.1643, 3.1643, 6.5290 Å; angles 90.00, 90.00, 90.00 degrees
Fractional positions:
1 Ta 0.0000 0.0000 0.2316
2 Ta 0.0000 0.0000 0.7684
3 Mn 0.5000 0.5000 0.0000
4 Nb 0.5000 0.5000 0.5000

## Properties
Energy of formation, eV per atom: -0.080
Spin magnetization, μB per formula unit: 0.0
Volume, Å³/atom: 16.34
DOS at the Fermi energy, states/eV/atom: 0.73